The following is a DFT calculation (PBE) of KNiTe2 after structural relaxation.

Unit cell a=6.1844 b=6.1844 c=6.1844 alpha=144.04 beta=115.51 gamma=76.11
Last column: nearest neighbours and their distance in Å.
Element x y z (fractional)
K 0.2500 0.7500 0.5000  8 Te 3.68-3.77, 4 Ni 3.81, 2 K 3.82
Ni 0.7500 0.2500 0.5000  4 Te 2.51
Te 0.9167 0.9167 0.0000  2 Ni 2.51
Te 0.5833 0.5833 0.0000  2 Ni 2.51

Properties
- space group = Immm, No. 71

The following is a DFT calculation (PBE) of Tb2SmWN4 after structural relaxation.

Unit cell a=3.4136 b=6.1616 c=11.9832 alpha=90.00 beta=90.00 gamma=106.08
Last column: nearest neighbours and their distance in Å.
Element x y z (fractional)
Tb 0.3697 0.7394 0.5373  5 N 2.32-2.55
Tb 0.6303 0.2606 0.0373  5 N 2.32-2.55
Tb 0.6303 0.2606 0.4627  5 N 2.32-2.55
Tb 0.3697 0.7394 0.9627  5 N 2.32-2.55
Sm 0.0983 0.1966 0.7500  6 N 2.52-2.80
Sm 0.9017 0.8034 0.2500  6 N 2.52-2.80
W 0.8386 0.6772 0.7500  4 N 1.92-2.10
W 0.1614 0.3228 0.2500  4 N 1.92-2.10
N 0.2634 0.5268 0.1255  1 W 1.92
N 0.7366 0.4732 0.6255  1 W 1.92
N 0.7366 0.4732 0.8745  1 W 1.92
N 0.2634 0.5268 0.3745  1 W 1.92
N 0.0000 0.0000 0.5000  4 Tb 2.34
N 0.0000 0.0000 0.0000  4 Tb 2.34
N 0.4418 0.8836 0.7500  2 W 2.10
N 0.5582 0.1164 0.2500  2 W 2.10

Properties
- space group = Cmcm, No. 63

Number 1: ΔE_f (raw) -374 meV/atom. Number 2: ΔE_f (raw) -1089 meV/atom.